The following is a DFT calculation (PBE) of a geometry-optimized SbTePI2 structure.

a b c (Å): 5.3146 5.3146 5.6215
angles (deg): 90.00 90.00 90.00
Atoms (fractional coordinates):
I  0.0000  0.5000  0.0000
I  0.5000  0.0000  0.0000
Sb  0.0000  0.0000  0.5000
P  0.0000  0.0000  0.0000
Te  0.5000  0.5000  0.5000

Results
- Space-group type: P4/mmm
- Energy above the most stable polymorph in this dataset: 26 meV/atom
- E_form (uncorrected): 0.48 eV per atom

---

The following is a DFT calculation (PBE) of a geometry-optimized Pm6Sn2BiTe3 structure.

a b c (Å): 4.5111 9.0293 10.0753
angles (deg): 102.78 102.94 90.00
Atoms (fractional coordinates):
Te  0.1651  0.8337  0.3301
Te  0.5000  0.5000  0.0000
Te  0.8349  0.1663  0.6699
Pm  0.9958  0.7489  0.9917
Pm  0.3328  0.9070  0.6657
Pm  0.6672  0.0930  0.3343
Pm  0.0042  0.2511  0.0083
Pm  0.3310  0.4223  0.6620
Pm  0.6690  0.5777  0.3380
Sn  0.8329  0.6662  0.6659
Sn  0.1671  0.3338  0.3341
Bi  0.5000  0.0000  0.0000

Results
- Space-group type: C2/m
- E_form (uncorrected): -1.16 eV per atom

---

The following is a DFT calculation (PBE) of a geometry-optimized Mg4AlMo structure.

a b c (Å): 5.5304 5.5304 5.5304
angles (deg): 60.00 60.00 60.00
Each line ends with the local moment (μB).
Atoms (fractional coordinates):
Mo  0.7500  0.7500  0.7500  2.25
Mg  0.3753  0.8742  0.3753  0.00
Mg  0.3753  0.3753  0.3753  0.00
Mg  0.8742  0.3753  0.3753  0.00
Mg  0.3753  0.3753  0.8742  0.00
Al  0.0000  0.0000  0.0000  -0.01

Results
- Energy of formation: 0.525 eV/atom
- Space-group type: F-43m

---

The following is a DFT calculation (PBE) of a geometry-optimized PaTeSe4 structure.

a b c (Å): 7.0890 6.7241 7.4064
angles (deg): 90.00 81.08 90.00
Atoms (fractional coordinates):
Se  0.8655  0.1391  0.3631
Se  0.8126  0.6601  0.1255
Se  0.3655  0.3609  0.3631
Se  0.3126  0.8399  0.1255
Se  0.6345  0.6391  0.6369
Se  0.1874  0.3399  0.8745
Se  0.6874  0.1601  0.8745
Se  0.1345  0.8609  0.6369
Pa  0.5000  0.5000  0.0000
Pa  0.0000  0.0000  0.0000
Te  0.0000  0.5000  0.5000
Te  0.5000  0.0000  0.5000

Results
- Space-group type: P2_1/c
- Energy above the most stable polymorph in this dataset: 101 meV/atom
- E_form (uncorrected): -0.57 eV per atom

---

Number 1: volume 31.76 Å³ per atom. Number 2: volume 32.46 Å³ per atom. Number 3: volume 19.93 Å³ per atom. Number 4: volume 29.06 Å³ per atom.